No. 1
The following is a DFT calculation (PBE-GGA) of a relaxed structure of Na6TlAg2.

Offset from the most stable computed form   0.22 eV per formula unit
Symmetry   P4_2/mnm, No. 136
Energy of formation   -0.04 eV per formula unit

Cell lengths 9.9205, 9.9205, 4.9805 Å; angles 90.00, 90.00, 90.00 degrees
With the nearest neighbours (Å) after each atom.
Element x y z (fractional)
Na1 0.0012 0.3189 0.0000  1 Tl 3.16, 3 Ag 3.33-3.34, 3 Na 3.35-3.40
Na2 0.1574 0.8426 0.5000  4 Ag 3.20-3.52, 2 Tl 3.33, 6 Na 3.35-3.40
Na3 0.1811 0.5012 0.5000  1 Tl 3.16, 3 Ag 3.33-3.34, 3 Na 3.35-3.40
Na4 0.3189 0.0012 0.0000  1 Tl 3.16, 3 Ag 3.33-3.34, 3 Na 3.35-3.40
Na5 0.3426 0.3426 0.0000  4 Ag 3.20-3.52, 2 Tl 3.33, 6 Na 3.35-3.40
Na6 0.4988 0.8189 0.5000  1 Tl 3.16, 3 Ag 3.33-3.34, 3 Na 3.35-3.40
Na7 0.5012 0.1811 0.5000  1 Tl 3.16, 3 Ag 3.33-3.34, 3 Na 3.35-3.40
Na8 0.6574 0.6574 0.0000  4 Ag 3.20-3.52, 2 Tl 3.33, 6 Na 3.35-3.40
Na9 0.6811 0.9988 0.0000  1 Tl 3.16, 3 Ag 3.33-3.34, 3 Na 3.35-3.40
Na10 0.8189 0.4988 0.5000  1 Tl 3.16, 3 Ag 3.33-3.34, 3 Na 3.35-3.40
Na11 0.8426 0.1574 0.5000  4 Ag 3.20-3.52, 2 Tl 3.33, 6 Na 3.35-3.40
Na12 0.9988 0.6811 0.0000  1 Tl 3.16, 3 Ag 3.33-3.34, 3 Na 3.35-3.40
Tl1 0.0000 0.0000 0.0000  8 Na 3.16-3.33, 4 Ag 3.40
Tl2 0.5000 0.5000 0.5000  8 Na 3.16-3.33, 4 Ag 3.40
Ag1 0.1655 0.1655 0.5000  10 Na 3.20-3.52, 2 Tl 3.40
Ag2 0.3345 0.6655 0.0000  10 Na 3.20-3.52, 2 Tl 3.40
Ag3 0.6655 0.3345 0.0000  10 Na 3.20-3.52, 2 Tl 3.40
Ag4 0.8345 0.8345 0.5000  10 Na 3.20-3.52, 2 Tl 3.40


No. 2
The following is a DFT calculation (PBE-GGA) of a relaxed structure of SrPtS.

ΔE_f (raw)   -0.853 eV/atom
Symmetry   Imma, No. 74

Cell lengths 6.2312, 6.2312, 6.2312 Å; angles 100.90, 96.31, 134.51 degrees
With the nearest neighbours (Å) after each atom.
Element x y z (fractional)
Sr1 0.0000 0.0000 0.0000  4 S 3.12, 4 Pt 3.15-3.21
Sr2 0.5000 0.0000 0.5000  4 S 3.12, 4 Pt 3.15-3.21
Pt1 0.2574 0.5074 0.7500  2 S 2.34
Pt2 0.7426 0.4926 0.2500  2 S 2.34
S1 0.0000 0.0000 0.5000  2 Pt 2.34
S2 0.0000 0.5000 0.0000  2 Pt 2.34


No. 3
The following is a DFT calculation (PBE-GGA) of a relaxed structure of La2Zn2Rh.

Offset from the most stable computed form   1.07 eV per formula unit
Symmetry   I4/mmm, No. 139
Energy of formation   -1.56 eV per formula unit

Cell lengths 9.4266, 9.4266, 9.4266 Å; angles 157.68, 157.68, 31.77 degrees
With the nearest neighbours (Å) after each atom.
Element x y z (fractional)
La1 0.0931 0.0931 0.0000  4 Rh 3.08, 1 La 3.38, 4 Zn 3.38
La2 0.9069 0.9069 0.0000  4 Rh 3.08, 1 La 3.38, 4 Zn 3.38
Zn1 0.2500 0.7500 0.5000  4 Zn 2.58
Zn2 0.7500 0.2500 0.5000  4 Zn 2.58
Rh1 0.5000 0.5000 0.0000  8 La 3.08


No. 4
The following is a DFT calculation (PBE-GGA) of a relaxed structure of Tl2I2F.

Offset from the most stable computed form   1.62 eV per formula unit
ΔE_f (raw)   -0.605 eV/atom
Symmetry   I4/mmm, No. 139

Cell lengths 6.5104, 6.5104, 6.5104 Å; angles 117.31, 117.31, 94.73 degrees
With the nearest neighbours (Å) after each atom.
Element x y z (fractional)
Tl1 0.2500 0.7500 0.5000  4 I 3.42
Tl2 0.7500 0.2500 0.5000  4 I 3.42
I1 0.1965 0.1965 0.0000  1 F 2.68
I2 0.8035 0.8035 0.0000  1 F 2.68
F1 0.5000 0.5000 0.0000  2 I 2.68


DOS at the Fermi energy, record by record: 0.369; 0.020; 0.526; 0.306 states/eV per atom